# GGA-PBE PrAl2Ag, optimized geometry
data_PrAl2Ag
_cell_length_a 5.7202
_cell_length_b 5.7202
_cell_length_c 26.8027
_cell_angle_alpha 90.00
_cell_angle_beta 90.00
_cell_angle_gamma 120.00
_space_group_name_H-M_alt 'R -3 m'
_space_group_IT_number 166
_space_group_name_Hall '-R 3 2"'
loop_
_atom_site_label
_atom_site_fract_x
_atom_site_fract_y
_atom_site_fract_z
Pr1 0.0000 0.0000 0.0000
Pr2 0.0000 0.0000 0.1409
Al1 0.0053 0.5026 0.9174
Ag1 0.0000 0.0000 0.3352
Ag2 0.0000 0.0000 0.5000
# Fermi-level density of states, states/eV/atom: 0.626
# Electronic total energy, eV/cell: -151.02
# ΔE_f, meV per atom: -416
# Relative energy among the computed polymorphs, eV per atom: 0.000